{"formula": "LaMgPb", "functional": "PBE", "state": "optimized geometry", "cell": [[-1.5827, 1.1089, -4.2891], [-3.9089, -2.4928, 0.7979], [-3.5428, 6.5161, 3.0015]], "species": ["Pb", "Pb", "Mg", "La", "Mg", "La"], "fractional_positions": [[0.2489, 0.2500, 0.7564], [0.7511, 0.7500, 0.2436], [0.7499, 0.2500, 0.0000], [0.7490, 0.7500, 0.6604], [0.2501, 0.7500, 0.0000], [0.2510, 0.2500, 0.3396]], "formation_enthalpy_0k_ev_per_fu": -1.33, "volume_a3_per_atom": 29.51}